Entry 1:
! PBE BeInRh, relaxed; values from VASP
! E above lowest polymorph = 0.00 eV/f.u.
! total energy = -4.898 eV per atom
! formation enthalpy at 0 K = -28.3 kJ per mole of atoms
! symmetry = I4mm
! Fermi-level density of states = 2.60 states/eV per cell
&SYSTEM
  ibrav = 0, nat = 3, ntyp = 3
/
ATOMIC_SPECIES
Be 9.01 Be.upf
In 114.82 In.upf
Rh 102.91 Rh.upf
ATOMIC_POSITIONS angstrom
Be 0.000 0.000 0.000
In 0.000 0.000 2.731
Rh 0.000 0.000 5.520
CELL_PARAMETERS angstrom
-1.536 1.536 4.682
1.536 -1.536 4.682
1.536 1.536 -4.682

Entry 2:
! PBE LiSnBi2Pb, relaxed; values from VASP
! total energy = -2.987 eV per atom
! formation enthalpy at 0 K = 47.4 kJ per mole of atoms
! symmetry = P4/mmm
! Fermi-level density of states = 3.90 states/eV per cell
&SYSTEM
  ibrav = 0, nat = 5, ntyp = 4
/
ATOMIC_SPECIES
Li 6.94 Li.upf
Sn 118.71 Sn.upf
Bi 208.98 Bi.upf
Pb 207.20 Pb.upf
ATOMIC_POSITIONS angstrom
Li 0.000 0.000 0.000
Sn 2.967 2.967 2.882
Bi 0.000 2.967 2.882
Bi 2.967 0.000 2.882
Pb 2.967 2.967 0.000
CELL_PARAMETERS angstrom
5.934 0.000 0.000
0.000 5.934 0.000
0.000 0.000 5.765

Entry 3:
! PBE CaBrF3, relaxed; values from VASP
! E above lowest polymorph = 0.00 eV/f.u.
! total energy = -4.013 eV per atom
! formation energy (no corrections) = -2.156 eV per atom
! symmetry = Pm-3m
! Fermi-level density of states = 2.77 states/eV per cell
&SYSTEM
  ibrav = 0, nat = 5, ntyp = 3
/
ATOMIC_SPECIES
Ca 40.08 Ca.upf
Br 79.90 Br.upf
F 19.00 F.upf
ATOMIC_POSITIONS angstrom
Ca 0.000 0.000 0.000
Br 2.244 2.244 2.244
F 0.000 0.000 2.244
F 0.000 2.244 0.000
F 2.244 0.000 0.000
CELL_PARAMETERS angstrom
4.488 0.000 0.000
0.000 4.488 0.000
0.000 0.000 4.488